[1]
# Ca3Sm5Sc12 | Alexandria via LeMat-Bulk | GGA-PBE | optimized geometry
data_Ca3Sm5Sc12
_cell_length_a 15.9959
_cell_length_b 15.9959
_cell_length_c 15.9959
_cell_angle_alpha 109.47
_cell_angle_beta 109.47
_cell_angle_gamma 109.47
_symmetry_space_group_name_H-M 'P 1'
_symmetry_Int_Tables_number 1
_symmetry_space_group_name_Hall 'P 1'
loop_
_atom_site_label
_atom_site_type_symbol
_atom_site_fract_x
_atom_site_fract_y
_atom_site_fract_z
Ca1 Ca 0.1250 0.2500 0.3750
Ca2 Ca 0.1250 0.3750 0.7500
Ca3 Ca 0.2500 0.3750 0.1250
Ca4 Ca 0.2500 0.8750 0.6250
Ca5 Ca 0.3750 0.1250 0.2500
Ca6 Ca 0.3750 0.7500 0.1250
Ca7 Ca 0.6250 0.2500 0.8750
Ca8 Ca 0.6250 0.8750 0.7500
Ca9 Ca 0.7500 0.1250 0.3750
Ca10 Ca 0.7500 0.6250 0.8750
Ca11 Ca 0.8750 0.6250 0.2500
Ca12 Ca 0.8750 0.7500 0.6250
Sm1 Sm 0.0000 0.0000 0.0000
Sm2 Sm 0.0000 0.0000 0.5000
Sm3 Sm 0.0000 0.5000 0.0000
Sm4 Sm 0.0000 0.5000 0.5000
Sm5 Sm 0.1250 0.7500 0.8750
Sm6 Sm 0.1250 0.8750 0.2500
Sm7 Sm 0.2500 0.1250 0.8750
Sm8 Sm 0.2500 0.6250 0.3750
Sm9 Sm 0.3750 0.2500 0.6250
Sm10 Sm 0.3750 0.6250 0.7500
Sm11 Sm 0.5000 0.0000 0.0000
Sm12 Sm 0.5000 0.0000 0.5000
Sm13 Sm 0.5000 0.5000 0.0000
Sm14 Sm 0.5000 0.5000 0.5000
Sm15 Sm 0.6250 0.3750 0.2500
Sm16 Sm 0.6250 0.7500 0.3750
Sm17 Sm 0.7500 0.3750 0.6250
Sm18 Sm 0.7500 0.8750 0.1250
Sm19 Sm 0.8750 0.1250 0.7500
Sm20 Sm 0.8750 0.2500 0.1250
Sc1 Sc 0.0036 0.1763 0.0259
Sc2 Sc 0.0036 0.3273 0.9777
Sc3 Sc 0.0223 0.5259 0.3496
Sc4 Sc 0.0223 0.9964 0.6727
Sc5 Sc 0.0259 0.0036 0.1763
Sc6 Sc 0.0259 0.5223 0.8496
Sc7 Sc 0.1504 0.6763 0.6727
Sc8 Sc 0.1504 0.9741 0.4777
Sc9 Sc 0.1727 0.1763 0.6504
Sc10 Sc 0.1727 0.4964 0.5223
Sc11 Sc 0.1763 0.0259 0.0036
Sc12 Sc 0.1763 0.6504 0.1727
Sc13 Sc 0.3237 0.3273 0.8496
Sc14 Sc 0.3237 0.4964 0.4741
Sc15 Sc 0.3273 0.8496 0.3237
Sc16 Sc 0.3273 0.9777 0.0036
Sc17 Sc 0.3496 0.0223 0.5259
Sc18 Sc 0.3496 0.8273 0.8237
Sc19 Sc 0.4741 0.3237 0.4964
Sc20 Sc 0.4741 0.6504 0.9777
Sc21 Sc 0.4777 0.1504 0.9741
Sc22 Sc 0.4777 0.8273 0.5036
Sc23 Sc 0.4964 0.4741 0.3237
Sc24 Sc 0.4964 0.5223 0.1727
Sc25 Sc 0.5036 0.4777 0.8273
Sc26 Sc 0.5036 0.5259 0.6763
Sc27 Sc 0.5223 0.1727 0.4964
Sc28 Sc 0.5223 0.8496 0.0259
Sc29 Sc 0.5259 0.3496 0.0223
Sc30 Sc 0.5259 0.6763 0.5036
Sc31 Sc 0.6504 0.1727 0.1763
Sc32 Sc 0.6504 0.9777 0.4741
Sc33 Sc 0.6727 0.0223 0.9964
Sc34 Sc 0.6727 0.1504 0.6763
Sc35 Sc 0.6763 0.5036 0.5259
Sc36 Sc 0.6763 0.6727 0.1504
Sc37 Sc 0.8237 0.3496 0.8273
Sc38 Sc 0.8237 0.9741 0.9964
Sc39 Sc 0.8273 0.5036 0.4777
Sc40 Sc 0.8273 0.8237 0.3496
Sc41 Sc 0.8496 0.0259 0.5223
Sc42 Sc 0.8496 0.3237 0.3273
Sc43 Sc 0.9741 0.4777 0.1504
Sc44 Sc 0.9741 0.9964 0.8237
Sc45 Sc 0.9777 0.0036 0.3273
Sc46 Sc 0.9777 0.4741 0.6504
Sc47 Sc 0.9964 0.6727 0.0223
Sc48 Sc 0.9964 0.8237 0.9741
# - Space group: Ia-3d
# - DOS at the Fermi energy: 1.4237 states/eV per atom
# - Raw total energy: -4.19 eV per atom

---

[2]
# NdCd4Ag | Alexandria via LeMat-Bulk | GGA-PBE | optimized geometry
data_NdCd4Ag
_cell_length_a 5.8583
_cell_length_b 5.8583
_cell_length_c 5.8583
_cell_angle_alpha 60.00
_cell_angle_beta 60.00
_cell_angle_gamma 60.00
_symmetry_space_group_name_H-M 'P 1'
_symmetry_Int_Tables_number 1
_symmetry_space_group_name_Hall 'P 1'
loop_
_atom_site_label
_atom_site_type_symbol
_atom_site_fract_x
_atom_site_fract_y
_atom_site_fract_z
Nd1 Nd 0.0000 0.0000 0.0000
Cd1 Cd 0.3751 0.3751 0.3751
Cd2 Cd 0.3751 0.3751 0.8748
Cd3 Cd 0.3751 0.8748 0.3751
Cd4 Cd 0.8748 0.3751 0.3751
Ag1 Ag 0.7500 0.7500 0.7500
# - Space group: F-43m
# - DOS at the Fermi energy: 0.8129 states/eV per atom
# - Raw total energy: -1.97 eV per atom

---

[3]
# Pu3ScAg3Se8 | Alexandria via LeMat-Bulk | GGA-PBE | optimized geometry
data_Pu3ScAg3Se8
_cell_length_a 7.8073
_cell_length_b 7.8073
_cell_length_c 6.8971
_cell_angle_alpha 90.10
_cell_angle_beta 90.10
_cell_angle_gamma 64.53
_symmetry_space_group_name_H-M 'P 1'
_symmetry_Int_Tables_number 1
_symmetry_space_group_name_Hall 'P 1'
loop_
_atom_site_label
_atom_site_type_symbol
_atom_site_fract_x
_atom_site_fract_y
_atom_site_fract_z
Pu1 Pu 0.0000 0.0000 0.0000
Pu2 Pu 0.0000 0.5000 0.5000
Pu3 Pu 0.5000 0.0000 0.5000
Sc1 Sc 0.5000 0.5000 0.0000
Ag1 Ag 0.0000 0.0000 0.5000
Ag2 Ag 0.0000 0.5000 0.0000
Ag3 Ag 0.5000 0.0000 0.0000
Se1 Se 0.1626 0.1626 0.7265
Se2 Se 0.1790 0.6521 0.7776
Se3 Se 0.3403 0.3403 0.2655
Se4 Se 0.3479 0.8210 0.2224
Se5 Se 0.6521 0.1790 0.7776
Se6 Se 0.6597 0.6597 0.7345
Se7 Se 0.8210 0.3479 0.2224
Se8 Se 0.8374 0.8374 0.2735
# - Energy relative to the elements, uncorrected: -1.010 eV/atom
# - Space group: C2/m
# - DOS at the Fermi energy: 1.9313 states/eV per atom
# - Raw total energy: -6.73 eV per atom

---

[4]
# CaTa | Alexandria via LeMat-Bulk | GGA-PBE | optimized geometry
data_CaTa
_cell_length_a 11.2217
_cell_length_b 11.2217
_cell_length_c 3.0235
_cell_angle_alpha 90.00
_cell_angle_beta 90.00
_cell_angle_gamma 120.00
_symmetry_space_group_name_H-M 'P 1'
_symmetry_Int_Tables_number 1
_symmetry_space_group_name_Hall 'P 1'
loop_
_atom_site_label
_atom_site_type_symbol
_atom_site_fract_x
_atom_site_fract_y
_atom_site_fract_z
Ca1 Ca 0.0554 0.3207 0.2500
Ca2 Ca 0.2654 0.9446 0.2500
Ca3 Ca 0.3207 0.2654 0.7500
Ca4 Ca 0.6793 0.7346 0.2500
Ca5 Ca 0.7346 0.0554 0.7500
Ca6 Ca 0.9446 0.6793 0.7500
Ta1 Ta 0.1797 0.6333 0.2500
Ta2 Ta 0.3667 0.5464 0.2500
Ta3 Ta 0.4536 0.8203 0.2500
Ta4 Ta 0.5464 0.1797 0.7500
Ta5 Ta 0.6333 0.4536 0.7500
Ta6 Ta 0.8203 0.3667 0.7500
# - Space group: P6_3/m
# - DOS at the Fermi energy: 1.0634 states/eV per atom
# - Raw total energy: -6.06 eV per atom

---

[5]
# Sc2Br | Alexandria via LeMat-Bulk | GGA-PBE | optimized geometry
data_Sc2Br
_cell_length_a 4.6244
_cell_length_b 4.6244
_cell_length_c 4.6244
_cell_angle_alpha 60.00
_cell_angle_beta 60.00
_cell_angle_gamma 60.00
_symmetry_space_group_name_H-M 'P 1'
_symmetry_Int_Tables_number 1
_symmetry_space_group_name_Hall 'P 1'
loop_
_atom_site_label
_atom_site_type_symbol
_atom_site_fract_x
_atom_site_fract_y
_atom_site_fract_z
Sc1 Sc 0.2500 0.2500 0.2500
Sc2 Sc 0.7500 0.7500 0.7500
Br1 Br 0.0000 0.0000 0.0000
# - Energy relative to the elements, uncorrected: -0.003 eV/atom
# - Space group: Fm-3m
# - DOS at the Fermi energy: 1.2312 states/eV per atom
# - Raw total energy: -4.78 eV per atom